No. 1
VASP calculation (GGA-PBEsol) on crystalline Cs2CuP2O7 at its relaxed geometry.

Values from the calculation:
- E_form (uncorrected) (meV/atom) = -2013
- density (g/cm³) = 3.815

Cell and atoms, written as POSCAR:
```
Cs2CuP2O7
1.0
-6.8321 -0.1350 -2.7454
-4.6438 -5.4967 1.9496
-6.2702 4.9470 5.7670
Cs Cu P O
4 2 4 14
Cartesian
-9.5059 3.7859 3.7338
-10.8089 -3.2744 2.2431
-12.9965 0.9491 2.0494
-6.6440 -2.3350 1.0759
-9.5386 -0.7291 4.9915
-9.1626 -0.3651 -1.0424
-9.1541 1.6857 6.8582
-9.2094 0.1425 1.9914
-6.6603 -0.1313 -2.5579
-14.4163 -3.0532 2.2133
-13.5705 -1.8730 2.6177
-6.1711 -0.5280 -1.1886
-10.0038 1.5197 1.5958
-4.1350 -3.9038 1.9315
-14.6880 1.2042 4.7927
-7.7624 0.4539 2.2687
-10.0154 -1.2991 6.7697
-2.2471 1.6774 1.9651
-1.3590 -0.0652 0.0119
-9.0174 -2.5555 4.5190
-3.2678 -1.7738 1.0576
-10.0442 -0.3638 3.1779
-9.3071 1.1311 5.4165
-9.4553 -0.8231 0.8012
```

---

No. 2
VASP calculation (GGA-PBEsol) on crystalline Cs2Cu3P4O14 at its relaxed geometry.

Values from the calculation:
- E_form (uncorrected) (meV/atom) = -1823
- density (g/cm³) = 4.115

Cell and atoms, written as POSCAR:
```
Cs2Cu3P4O14
1.0
7.7349 -0.0042 0.0000
-1.9129 7.6511 0.0000
0.0000 0.0000 10.9713
Cs Cu P O
4 6 8 28
Cartesian
3.1040 1.9050 3.4554
6.9715 1.9029 2.0302
2.7179 5.7419 7.5159
-1.1495 5.7440 8.9411
4.2550 5.4977 1.1899
0.0000 0.0000 5.4857
5.4344 2.1470 6.6756
0.3876 5.4999 4.2957
3.8675 -0.0021 0.0000
1.5669 2.1492 9.7814
1.4119 4.7146 0.5070
2.4330 1.0104 7.2216
4.4101 2.9323 10.4643
0.5426 2.9344 5.9926
-0.4784 6.6386 1.7360
6.3004 1.0083 9.2353
5.2793 4.7125 4.9787
3.3890 6.6365 3.7497
3.5769 7.5586 9.9302
2.0172 6.5236 4.3919
4.1716 5.2177 3.8960
3.1612 3.2536 9.6445
3.3487 6.8682 2.2289
4.2507 1.8144 0.5298
-0.0627 1.1255 9.8775
-0.2905 7.5607 6.5268
-0.5188 6.8703 3.2567
0.3833 1.8165 4.9559
1.6504 2.4292 7.0753
6.3408 0.7766 7.7146
2.4733 0.7787 8.7424
4.6024 3.4736 5.5696
-0.7063 3.2557 6.8124
5.0870 4.1712 0.0839
6.5282 4.3912 4.1589
2.2450 0.0883 1.0411
0.3042 5.2198 1.5897
1.5712 5.8325 10.4415
3.8048 1.1233 6.5794
5.8847 6.5215 1.0938
5.4387 5.8304 6.0154
5.5178 2.4271 9.3817
1.2196 4.1734 5.4017
0.7350 3.4757 10.8874
2.6608 4.3933 1.3268
6.1125 0.0862 4.4445
```

---

No. 3
VASP calculation (GGA-PBEsol) on crystalline CsCu2TcOs at its relaxed geometry.

Values from the calculation:
- energy of formation from the pure elements (eV/atom) = 3.26
- density (g/cm³) = 8.136

Cell and atoms, written as POSCAR:
```
CsCu2TcOs
1.0
4.7282 0.0000 0.0000
0.0000 4.7282 0.0000
0.0000 0.0000 5.0054
Cs Os Tc Cu
1 1 1 2
Cartesian
0.0000 0.0000 0.0000
0.0000 0.0000 2.5027
2.3641 2.3641 2.5027
0.0000 2.3641 0.0000
2.3641 0.0000 0.0000
```

---

No. 4
VASP calculation (GGA-PBEsol) on crystalline CsCu2P at its relaxed geometry.

Values from the calculation:
- energy of formation from the pure elements (eV/atom) = -0.14
- density (g/cm³) = 4.660

Cell and atoms, written as POSCAR:
```
CsCu2P
1.0
-4.6004 2.8664 -1.1905
-0.8244 -3.1805 -4.4723
-0.9183 -4.1266 6.5470
Cs P Cu
2 2 4
Cartesian
0.0000 0.0000 0.0000
-2.2275 -3.7321 -0.3783
-2.7124 -0.1571 -2.8314
-4.1155 -0.7086 1.2626
-3.8731 -2.4962 2.4891
-1.5729 -3.9294 3.0843
-3.8261 -2.0231 -3.0206
-3.4139 -0.4329 -0.7844
```

---

No. 5
VASP calculation (GGA-PBEsol) on crystalline CsRb2CuP at its relaxed geometry.

Values from the calculation:
- energy of formation from the pure elements (eV/atom) = 0.87
- density (g/cm³) = 2.445

Cell and atoms, written as POSCAR:
```
CsRb2CuP
1.0
5.4050 0.0000 0.0000
0.0000 7.0744 0.0000
0.0000 0.0000 7.0744
Cs P Cu Rb
1 1 1 2
Cartesian
0.0000 0.0000 0.0000
2.7025 0.0000 0.0000
2.7025 3.5372 3.5372
0.0000 0.0000 3.5372
0.0000 3.5372 0.0000
```

---

No. 6
VASP calculation (GGA-PBEsol) on crystalline CsCuPb3 at its relaxed geometry.

Values from the calculation:
- energy of formation from the pure elements (eV/atom) = 1.77
- density (g/cm³) = 5.938

Cell and atoms, written as POSCAR:
```
CsCuPb3
1.0
-4.1083 4.4440 0.8826
-1.8821 -0.5901 -5.7893
-4.1214 -4.1604 1.7639
Pb Cs Cu
3 1 1
Cartesian
-0.9410 -0.2950 -2.8946
-2.0607 -2.0802 0.8820
-2.0541 2.2220 0.4413
0.0000 0.0000 0.0000
-5.0559 -0.1532 -1.5714
```

---

No. 7
VASP calculation (GGA-PBEsol) on crystalline CsCuSb2Pb at its relaxed geometry.

Values from the calculation:
- E_form (uncorrected) (meV/atom) = 125
- density (g/cm³) = 7.207

Cell and atoms, written as POSCAR:
```
CsCuSb2Pb
1.0
-4.2358 -1.6592 2.6403
-0.2595 -4.2505 -3.0874
3.1841 -2.6810 3.4234
Pb Cs Cu Sb
1 1 1 2
Cartesian
1.5920 -1.3405 1.7117
-0.6556 -4.2954 1.4882
0.0000 0.0000 0.0000
-0.1297 -2.1253 -1.5437
-2.1179 -0.8296 1.3202
```

---

No. 8
VASP calculation (GGA-PBEsol) on crystalline Cs2CuSnPd at its relaxed geometry.

Values from the calculation:
- energy of formation from the pure elements (eV/atom) = 0.54
- density (g/cm³) = 5.073

Cell and atoms, written as POSCAR:
```
Cs2CuSnPd
1.0
4.9047 0.0000 0.0000
0.0000 6.0829 0.0000
0.0000 0.0000 6.0829
Cs Cu Sn Pd
2 1 1 1
Cartesian
0.0000 0.0000 3.0415
0.0000 3.0415 0.0000
0.0000 0.0000 0.0000
2.4524 0.0000 0.0000
2.4524 3.0415 3.0415
```

---

- Look up the density of the fourth one.
  4.660 g/cm³